Entry 1:
An optimized crystal structure of Al3TlZn, computed with PBE.

Cell: 4.871 4.871 4.871 Å, 90.00 90.00 90.00°
Positions (direct):
Tl (0.500, 0.500, 0.500)
Zn (0.000, 0.000, 0.000)
Al (0.000, 0.500, 0.000)
Al (0.000, 0.000, 0.500)
Al (0.500, 0.000, 0.000)

Energy relative to the lowest polymorph listed for this composition (meV/atom): 0
Calculated formation energy (eV/atom): 0.444
Symmetry: Pm-3m
Crystal system: cubic

Entry 2:
An optimized crystal structure of Al2TlZn, computed with PBE.

Cell: 3.046 3.046 8.740 Å, 90.00 90.00 90.00°
Positions (direct):
Tl (0.000, 0.000, 0.507)
Zn (0.500, 0.500, 0.791)
Al (0.000, 0.000, 0.992)
Al (0.500, 0.500, 0.211)

Energy relative to the lowest polymorph listed for this composition (meV/atom): 8
Calculated formation energy (eV/atom): 0.187
Symmetry: P4mm
Crystal system: tetragonal

Entry 3:
An optimized crystal structure of AlTl3Zn, computed with PBE.

Cell: 5.449 5.449 5.449 Å, 90.00 90.00 90.00°
Positions (direct):
Tl (0.000, 0.500, 0.000)
Tl (0.000, 0.000, 0.500)
Tl (0.500, 0.000, 0.000)
Zn (0.500, 0.500, 0.500)
Al (0.000, 0.000, 0.000)

Energy relative to the lowest polymorph listed for this composition (meV/atom): 0
Calculated formation energy (eV/atom): 0.393
Symmetry: Pm-3m
Crystal system: cubic

Entry 4:
An optimized crystal structure of AlTlZn2, computed with PBE.

Cell: 5.919 5.919 5.919 Å, 150.31 127.18 61.76°
Positions (direct):
Tl (0.247, 0.747, 0.500)
Zn (0.974, 0.974, 0.000)
Zn (0.753, 0.253, 0.500)
Al (0.526, 0.526, 0.000)

Energy relative to the lowest polymorph listed for this composition (meV/atom): 56
Calculated formation energy (eV/atom): 0.222
Symmetry: Imm2
Crystal system: orthorhombic

Entry 5:
An optimized crystal structure of Al2TlZn, computed with PBE.

Cell: 9.770 9.770 9.770 Å, 18.33 18.33 18.33°
Positions (direct):
Tl (0.498, 0.498, 0.498)
Zn (0.742, 0.742, 0.742)
Al (0.002, 0.002, 0.002)
Al (0.258, 0.258, 0.258)

Energy relative to the lowest polymorph listed for this composition (meV/atom): 22
Calculated formation energy (eV/atom): 0.201
Symmetry: R3m
Crystal system: trigonal

Entry 6:
An optimized crystal structure of AlTlZn, computed with PBE.

Cell: 3.143 4.632 10.447 Å, 110.38 80.80 110.04°
Positions (direct):
Zn (0.616, 0.440, 0.198)
Zn (0.405, 0.377, 0.538)
Al (0.878, 0.071, 0.297)
Al (0.142, 0.745, 0.440)
Tl (0.373, 0.737, 0.997)
Tl (0.646, 0.079, 0.740)

Calculated formation energy (eV/atom): 0.121
Symmetry: P-1
Crystal system: triclinic

Entry 7:
An optimized crystal structure of Al2TlZn, computed with PBE.

Cell: 6.160 6.160 6.160 Å, 152.03 130.86 57.49°
Positions (direct):
Tl (0.750, 0.250, 0.500)
Zn (0.250, 0.750, 0.500)
Al (0.031, 0.031, 0.000)
Al (0.469, 0.469, 0.000)

Energy relative to the lowest polymorph listed for this composition (meV/atom): 55
Calculated formation energy (eV/atom): 0.234
Symmetry: Immm
Crystal system: orthorhombic

Entry 8:
An optimized crystal structure of AlTlZn, computed with PBE.

Cell: 3.185 3.815 11.153 Å, 89.99 106.23 90.01°
Positions (direct):
Zn (0.193, 0.229, 0.187)
Zn (0.047, 0.728, 0.549)
Al (0.800, 0.729, 0.298)
Al (0.439, 0.228, 0.439)
Tl (0.505, 0.728, 0.996)
Tl (0.736, 0.228, 0.740)

Calculated formation energy (eV/atom): 0.103
Symmetry: P2_1/m
Crystal system: monoclinic